The following is a DFT calculation (PBE-GGA) of CdSeCl2 after structural relaxation.

Cell: 11.5140 11.5140 11.5140 Å, 18.03 18.03 18.03°
With the nearest neighbours (Å) after each atom.
Fractional coordinates of all 4 atoms:
1 Cd 0.0000 0.0000 0.0000  6 Cl 2.63
2 Se 0.5000 0.5000 0.5000  6 Se 3.61
3 Cl 0.3804 0.3804 0.3804  3 Cd 2.63
4 Cl 0.6196 0.6196 0.6196  3 Cd 2.63

Computed properties:
- E above lowest polymorph (meV/atom) = 218
- ΔE_f (raw) (eV/atom) = -0.320
- uncorrected energy (eV for the cell shown) = -9.37
- magnetization (μB per formula unit) = 0.7

The following is a DFT calculation (PBE-GGA) of Pm3Y3Tm after structural relaxation.

Cell: 14.7940 14.7940 14.7940 Å, 24.36 24.36 24.36°
With the nearest neighbours (Å) after each atom.
Fractional coordinates of all 14 atoms:
1 Pm 0.1316 0.4622 0.8005  3 Y 3.55-3.56, 9 Pm 3.58-3.68
2 Pm 0.1995 0.8684 0.5378  3 Y 3.55-3.56, 9 Pm 3.58-3.68
3 Pm 0.4622 0.8005 0.1316  3 Y 3.55-3.56, 9 Pm 3.58-3.68
4 Pm 0.5378 0.1995 0.8684  3 Y 3.55-3.56, 9 Pm 3.58-3.68
5 Pm 0.8005 0.1316 0.4622  3 Y 3.55-3.56, 9 Pm 3.58-3.68
6 Pm 0.8684 0.5378 0.1995  3 Y 3.55-3.56, 9 Pm 3.58-3.68
7 Y 0.0644 0.7313 0.3978  2 Tm 3.47, 3 Pm 3.55-3.56, 6 Y 3.60-3.61
8 Y 0.2687 0.6022 0.9356  2 Tm 3.47, 3 Pm 3.55-3.56, 6 Y 3.60-3.61
9 Y 0.3978 0.0644 0.7313  2 Tm 3.47, 3 Pm 3.55-3.56, 6 Y 3.60-3.61
10 Y 0.6022 0.9356 0.2687  2 Tm 3.47, 3 Pm 3.55-3.56, 6 Y 3.60-3.61
11 Y 0.7313 0.3978 0.0644  2 Tm 3.47, 3 Pm 3.55-3.56, 6 Y 3.60-3.61
12 Y 0.9356 0.2687 0.6022  2 Tm 3.47, 3 Pm 3.55-3.56, 6 Y 3.60-3.61
13 Tm 0.3333 0.3333 0.3333  6 Y 3.47, 3 Tm 3.60
14 Tm 0.6667 0.6667 0.6667  6 Y 3.47, 3 Tm 3.60

Computed properties:
- E above lowest polymorph (meV/atom) = 148
- ΔH_f (0 K) (eV per atom) = 0.164
- uncorrected energy (eV for the cell shown) = -73.93
- magnetization (μB per formula unit) = 0.0

The following is a DFT calculation (PBE-GGA) of FeSiMo after structural relaxation.

Cell: 4.0100 4.0100 2.7539 Å, 90.00 90.00 120.00°
With the nearest neighbours (Å) after each atom.
Fractional coordinates of all 3 atoms:
1 Fe 0.0000 0.0000 0.0000  3 Si 2.32
2 Si 0.6667 0.3333 0.0000  3 Fe 2.32
3 Mo 0.3333 0.6667 0.5000  6 Fe 2.69, 6 Si 2.69, 2 Mo 2.75

Computed properties:
- ΔE_f (raw) (eV/atom) = -0.287
- uncorrected energy (eV for the cell shown) = -25.58
- magnetization (μB per formula unit) = 0.0

The following is a DFT calculation (PBE-GGA) of AlTeW after structural relaxation.

Cell: 6.3493 6.3493 6.3493 Å, 150.51 150.51 42.20°
With the nearest neighbours (Å) after each atom.
Fractional coordinates of all 3 atoms:
1 Al 0.0000 0.0000 0.0000  4 W 2.73
2 Te 0.7350 0.7350 0.0000  4 W 2.81, 1 Al 3.14
3 W 0.3733 0.3733 0.0000  4 Al 2.73, 4 Te 2.81

Computed properties:
- E above lowest polymorph (meV/atom) = 98
- ΔE_f (raw) (eV/atom) = 0.415
- uncorrected energy (eV for the cell shown) = -18.59
- magnetization (μB per formula unit) = 0.0

The following is a DFT calculation (PBE-GGA) of PtRhCl2 after structural relaxation.

Cell: 8.0575 8.0575 8.0575 Å, 22.78 22.78 22.78°
With the nearest neighbours (Å) after each atom.
Fractional coordinates of all 4 atoms:
1 Pt 0.0000 0.0000 0.0000  6 Cl 2.94, 6 Pt 3.18
2 Rh 0.5000 0.5000 0.5000  6 Cl 2.45
3 Cl 0.2356 0.2356 0.2356  3 Rh 2.45
4 Cl 0.7644 0.7644 0.7644  3 Rh 2.45

Computed properties:
- E above lowest polymorph (meV/atom) = 550
- ΔE_f (raw) (eV/atom) = 0.438
- uncorrected energy (eV for the cell shown) = -15.33
- magnetization (μB per formula unit) = 0.0

The following is a DFT calculation (PBE-GGA) of Na2PrWN4 after structural relaxation.

Cell: 5.4381 5.4381 5.4381 Å, 111.47 111.47 105.54°
With the nearest neighbours (Å) after each atom.
Fractional coordinates of all 8 atoms:
1 Na 0.2500 0.7500 0.5000  4 N 2.32
2 Na 0.7500 0.2500 0.5000  4 N 2.32
3 Pr 0.0000 0.0000 0.0000  4 N 2.61
4 W 0.5000 0.5000 0.0000  4 N 1.89
5 N 0.1527 0.4978 0.0000  1 W 1.89
6 N 0.4978 0.1527 0.0000  1 W 1.89
7 N 0.5022 0.5022 0.6549  1 W 1.89
8 N 0.8473 0.8473 0.3451  1 W 1.89

Computed properties:
- ΔE_f (raw) (eV/atom) = -0.416
- uncorrected energy (eV for the cell shown) = -57.00
- magnetization (μB per formula unit) = 1.0